This record from Alexandria via LeMat-Bulk describes BaMg4Zn2Au after structural relaxation. The functional is PBE.

crystal system	trigonal
VASP energy	-0.0731	Ha/atom

abc: 4.721 4.721 10.562
angles: 77.09 77.09 60.00
Fractional coordinates of all 8 atoms:
Zn  0.751  0.751  0.748
Mg  0.587  0.587  0.240
Zn  0.249  0.249  0.252
Au  0.500  0.500  0.500
Ba  0.000  0.000  0.000
Mg  0.138  0.138  0.587
Mg  0.413  0.413  0.760
Mg  0.862  0.862  0.413

***

This record from Alexandria via LeMat-Bulk describes V2Cu2As after structural relaxation. The functional is PBE.

crystal system	tetragonal
energy above the most stable polymorph in this dataset	0.0	meV/atom

abc: 6.188 6.188 3.858
angles: 90.00 90.00 90.00
Last column: magnetic moment on the atom in μB.
Fractional coordinates of all 10 atoms:
Cu  0.854  0.354  0.500  0.04
Cu  0.354  0.146  0.500  0.04
V  0.641  0.141  0.000  0.46
V  0.359  0.859  0.000  0.46
Cu  0.146  0.646  0.500  0.04
Cu  0.646  0.854  0.500  0.04
V  0.141  0.359  0.000  0.46
As  0.500  0.500  0.000  -0.02
V  0.859  0.641  0.000  0.46
As  0.000  0.000  0.000  -0.02

***

This record from Alexandria via LeMat-Bulk describes TlSb2Br2 after structural relaxation. The functional is PBE.

crystal system	tetragonal
energy above the most stable polymorph in this dataset	0.0	meV/atom
uncorrected formation energy	-0.20	eV per atom

abc: 4.256 4.256 9.759
angles: 77.40 77.40 90.00
Fractional coordinates of all 5 atoms:
Br  0.600  0.600  0.800
Sb  0.250  0.750  0.500
Sb  0.750  0.250  0.500
Tl  0.000  0.000  0.000
Br  0.400  0.400  0.200

***

This record from Alexandria via LeMat-Bulk describes Tm2Be15Ir2 after structural relaxation. The functional is PBE.

crystal system	trigonal
VASP energy	-0.1693	Ha/atom

abc: 5.976 5.976 5.976
angles: 82.96 82.96 82.96
Fractional coordinates of all 19 atoms:
Be  0.338  0.847  0.338
Be  0.338  0.338  0.847
Be  0.274  0.000  0.726
Be  0.000  0.000  0.500
Be  0.662  0.153  0.662
Be  0.847  0.338  0.338
Be  0.000  0.500  0.000
Be  0.662  0.662  0.153
Ir  0.111  0.111  0.111
Be  0.000  0.274  0.726
Tm  0.653  0.653  0.653
Be  0.500  0.000  0.000
Be  0.274  0.726  0.000
Ir  0.889  0.889  0.889
Tm  0.347  0.347  0.347
Be  0.153  0.662  0.662
Be  0.726  0.000  0.274
Be  0.726  0.274  0.000
Be  0.000  0.726  0.274

***

This record from Alexandria via LeMat-Bulk describes Rb2BaTaSe after structural relaxation. The functional is PBE.

crystal system	tetragonal
uncorrected formation energy	1.16	eV per atom

abc: 7.768 5.862 7.768
angles: 90.00 90.00 90.00
Last column: magnetic moment on the atom in μB.
Fractional coordinates of all 5 atoms:
Ta  0.500  0.500  0.500  2.31
Se  0.000  0.500  0.000  -0.01
Rb  0.500  0.000  0.000  0.01
Ba  0.000  0.000  0.000  0.02
Rb  0.000  0.000  0.500  0.01

***

This record from Alexandria via LeMat-Bulk describes Y2TeI3 after structural relaxation. The functional is PBE.

crystal system	monoclinic
uncorrected formation energy	-1.28	eV per atom

abc: 4.249 11.107 11.299
angles: 85.62 79.16 78.97
Fractional coordinates of all 12 atoms:
Te  0.399  0.526  0.677
Y  0.585  0.286  0.544
I  0.956  0.821  0.267
Y  0.140  0.569  0.150
Y  0.860  0.431  0.850
I  0.776  0.838  0.609
Te  0.601  0.474  0.323
I  0.326  0.318  0.030
Y  0.415  0.714  0.456
I  0.674  0.682  0.970
I  0.224  0.162  0.391
I  0.044  0.179  0.733

***

This record from Alexandria via LeMat-Bulk describes Cs3PuPa2Te6 after structural relaxation. The functional is PBE.

crystal system	monoclinic
uncorrected formation energy	-1.00	eV per atom

abc: 7.861 7.861 9.428
angles: 97.99 97.99 120.00
Last column: magnetic moment on the atom in μB.
Fractional coordinates of all 12 atoms:
Te  0.065  0.404  0.194  -0.05
Pa  0.333  0.667  0.000  1.39
Pu  0.000  0.000  0.000  5.51
Te  0.725  0.725  0.194  -0.05
Te  0.275  0.275  0.806  -0.05
Te  0.404  0.065  0.194  -0.05
Pa  0.667  0.333  0.000  1.39
Cs  0.835  0.165  0.500  0.00
Te  0.935  0.596  0.806  -0.05
Te  0.596  0.935  0.806  -0.05
Cs  0.500  0.500  0.500  0.00
Cs  0.165  0.835  0.500  0.00

***

This record from Alexandria via LeMat-Bulk describes Tl2SiSb after structural relaxation. The functional is PBE.

crystal system	tetragonal
energy above the most stable polymorph in this dataset	246.8	meV/atom
uncorrected formation energy	0.40	eV per atom

abc: 6.511 6.511 7.848
angles: 65.49 65.49 90.00
Fractional coordinates of all 8 atoms:
Sb  0.000  0.000  0.000
Si  0.250  0.750  0.500
Tl  0.375  0.412  0.750
Sb  0.750  0.250  0.500
Tl  0.588  0.125  0.250
Si  0.500  0.500  0.000
Tl  0.875  0.838  0.750
Tl  0.162  0.625  0.250

***

This record from Alexandria via LeMat-Bulk describes LuThZrTc after structural relaxation. The functional is PBE.

crystal system	cubic
VASP energy	-0.2793	Ha/atom

abc: 5.064 5.064 5.064
angles: 60.00 60.00 60.00
Last column: magnetic moment on the atom in μB.
Fractional coordinates of all 4 atoms:
Th  0.500  0.500  0.500  -0.04
Tc  0.250  0.250  0.250  0.03
Lu  0.000  0.000  0.000  -0.06
Zr  0.750  0.750  0.750  -0.14

***

This record from Alexandria via LeMat-Bulk describes SrAlRu after structural relaxation. The functional is PBE.

crystal system	cubic
VASP energy	-0.1686	Ha/atom

abc: 4.638 4.638 4.638
angles: 60.00 60.00 60.00
Fractional coordinates of all 3 atoms:
Ru  0.250  0.250  0.250
Sr  0.000  0.000  0.000
Al  0.500  0.500  0.500

***

This record from Alexandria via LeMat-Bulk describes TbYLuTh after structural relaxation. The functional is PBE.

crystal system	cubic
VASP energy	-0.2069	Ha/atom

abc: 5.647 5.647 5.647
angles: 60.00 60.00 60.00
Fractional coordinates of all 4 atoms:
Th  0.000  0.000  0.000
Y  0.250  0.250  0.250
Tb  0.500  0.500  0.500
Lu  0.750  0.750  0.750

***

This record from Alexandria via LeMat-Bulk describes ErRh2Pb after structural relaxation. The functional is PBE.

crystal system	tetragonal
VASP energy	-0.2325	Ha/atom

abc: 3.699 4.525 4.525
angles: 90.00 90.00 90.00
Fractional coordinates of all 4 atoms:
Er  0.500  0.500  0.500
Rh  0.000  0.500  0.000
Rh  0.000  0.000  0.500
Pb  0.500  0.000  0.000